Entry 1:
VASP calculation (PBE) on crystalline Sr4Tl2Hg at its relaxed geometry.

abc: 5.7271 5.7271 9.9737
angles: 73.32 73.32 60.00
Last column: nearest neighbours and their distance in Å.
Fractional coordinates of all 7 atoms:
Sr1 0.1237 0.1237 0.6290  1 Hg 3.49, 4 Tl 3.49-3.56
Sr2 0.3737 0.3737 0.8788  3 Hg 3.50, 4 Tl 3.50-3.53
Sr3 0.8763 0.8763 0.3710  1 Hg 3.49, 4 Tl 3.49-3.56
Sr4 0.6263 0.6263 0.1212  3 Hg 3.50, 4 Tl 3.50-3.53
Hg1 0.0000 0.0000 0.0000  8 Sr 3.49-3.50
Tl1 0.7504 0.7504 0.7488  8 Sr 3.49-3.56
Tl2 0.2496 0.2496 0.2512  8 Sr 3.49-3.56

Space-group type   R-3m
Relative energy among the computed polymorphs   0.0000 eV per atom

---

Entry 2:
VASP calculation (PBE) on crystalline Sr5Tl2Hg2 at its relaxed geometry.

abc: 8.5702 8.8773 9.8590
angles: 90.00 64.24 90.00
Last column: nearest neighbours and their distance in Å.
Fractional coordinates of all 18 atoms:
Tl1 0.6208 0.1287 0.0000  1 Tl 3.08, 1 Sr 3.45
Tl2 0.1208 0.3713 0.0000  1 Tl 3.08, 1 Sr 3.45
Tl3 0.8792 0.6287 0.0000  1 Tl 3.08, 1 Sr 3.45
Tl4 0.3792 0.8713 0.0000  1 Tl 3.08, 1 Sr 3.45
Sr1 0.4730 0.1673 0.7146  3 Hg 3.35-3.48, 3 Tl 3.57-3.67
Sr2 0.8123 0.8327 0.7146  3 Hg 3.35-3.48, 3 Tl 3.57-3.67
Sr3 0.5000 0.5000 0.0000  4 Tl 3.45, 2 Hg 3.55
Sr4 0.9730 0.3327 0.7146  3 Hg 3.35-3.48, 3 Tl 3.57-3.67
Sr5 0.6877 0.3327 0.2854  3 Hg 3.35-3.48, 3 Tl 3.57-3.67
Sr6 0.0000 0.0000 0.0000  4 Tl 3.45, 2 Hg 3.55
Sr7 0.3123 0.6673 0.7146  3 Hg 3.35-3.48, 3 Tl 3.57-3.67
Sr8 0.0270 0.6673 0.2854  3 Hg 3.35-3.48, 3 Tl 3.57-3.67
Sr9 0.5270 0.8327 0.2854  3 Hg 3.35-3.48, 3 Tl 3.57-3.67
Sr10 0.1877 0.1673 0.2854  3 Hg 3.35-3.48, 3 Tl 3.57-3.67
Hg1 0.2000 0.0000 0.6001  7 Sr 3.35-3.55
Hg2 0.8000 0.0000 0.3999  7 Sr 3.35-3.55
Hg3 0.3000 0.5000 0.3999  7 Sr 3.35-3.55
Hg4 0.7000 0.5000 0.6001  7 Sr 3.35-3.55

Space-group type   Cmce

---

Entry 3:
VASP calculation (PBE) on crystalline SrTl2Hg at its relaxed geometry.

abc: 4.7299 4.7299 12.4068
angles: 79.01 79.01 90.00
Last column: nearest neighbours and their distance in Å.
Fractional coordinates of all 8 atoms:
Hg1 0.0000 0.0000 0.0000  4 Sr 3.34, 4 Tl 3.40
Hg2 0.7500 0.2500 0.5000  4 Sr 3.34, 4 Tl 3.40
Sr1 0.2500 0.7500 0.5000  4 Hg 3.34, 4 Tl 3.45
Sr2 0.5000 0.5000 0.0000  4 Hg 3.34, 4 Tl 3.45
Tl1 0.6428 0.1250 0.2500  4 Tl 3.23-3.47, 2 Hg 3.40, 2 Sr 3.45
Tl2 0.3750 0.3572 0.7500  4 Tl 3.23-3.47, 2 Hg 3.40, 2 Sr 3.45
Tl3 0.8750 0.8928 0.7500  4 Tl 3.23-3.47, 2 Hg 3.40, 2 Sr 3.45
Tl4 0.1072 0.6250 0.2500  4 Tl 3.23-3.47, 2 Hg 3.40, 2 Sr 3.45

Space-group type   I-42d

---

Entry 4:
VASP calculation (PBE) on crystalline Sr2TlHg5 at its relaxed geometry.

abc: 7.0265 7.0264 6.8555
angles: 120.72 120.72 90.08
Last column: nearest neighbours and their distance in Å.
Fractional coordinates of all 8 atoms:
Hg1 0.7002 0.7002 0.9447  4 Hg 3.21-3.53, 2 Tl 3.36-3.56, 4 Sr 3.43-3.45
Hg2 0.7012 0.2429 0.9433  4 Hg 3.21-3.55, 2 Tl 3.36-3.55, 4 Sr 3.42-3.45
Hg3 0.2429 0.7013 0.9435  4 Hg 3.21-3.55, 2 Tl 3.36-3.56, 4 Sr 3.42-3.45
Hg4 0.2440 0.2440 0.9441  4 Hg 3.22-3.54, 2 Tl 3.37-3.54, 4 Sr 3.44
Hg5 0.7595 0.7596 0.5185  8 Hg 3.36-3.55, 4 Sr 3.53
Sr1 0.7223 0.2241 0.4462  10 Hg 3.42-3.53, 2 Tl 3.53
Sr2 0.2240 0.7222 0.4462  10 Hg 3.42-3.53, 2 Tl 3.53
Tl1 0.1829 0.1828 0.3674  8 Hg 3.36-3.56, 4 Sr 3.53

Space-group type   Cm
Relative energy among the computed polymorphs   0.0000 eV per atom

---

Entry 5:
VASP calculation (PBE) on crystalline Sr2TlHg6 at its relaxed geometry.

abc: 3.8021 8.9182 8.9182
angles: 120.00 90.00 90.00
Last column: nearest neighbours and their distance in Å.
Fractional coordinates of all 9 atoms:
Hg1 0.5000 0.6705 0.6705  3 Hg 2.94-3.04
Hg2 0.5000 0.0000 0.6705  3 Hg 2.94-3.04
Hg3 0.5000 0.6705 0.0000  3 Hg 2.94-3.04
Hg4 0.5000 0.3295 0.3295  3 Hg 2.94-3.04
Hg5 0.5000 0.0000 0.3295  3 Hg 2.94-3.04
Hg6 0.5000 0.3295 0.0000  3 Hg 2.94-3.04
Sr1 0.0000 0.6667 0.3333  12 Hg 3.54, 2 Sr 3.80
Sr2 0.0000 0.3333 0.6667  12 Hg 3.54, 2 Sr 3.80
Tl1 0.0000 0.0000 0.0000  12 Hg 3.50, 2 Tl 3.80

Space-group type   P6/mmm

---

Entry 6:
VASP calculation (PBE) on crystalline Sr2Tl2Hg at its relaxed geometry.

abc: 9.2587 9.2587 4.2650
angles: 90.00 90.00 90.00
Last column: nearest neighbours and their distance in Å.
Fractional coordinates of all 10 atoms:
Sr1 0.1732 0.3268 0.0000  6 Tl 3.41-3.51, 2 Hg 3.42
Sr2 0.8268 0.6732 0.0000  6 Tl 3.41-3.51, 2 Hg 3.42
Sr3 0.6732 0.1732 0.0000  6 Tl 3.41-3.51, 2 Hg 3.42
Sr4 0.3268 0.8268 0.0000  6 Tl 3.41-3.51, 2 Hg 3.42
Tl1 0.8763 0.3763 0.5000  1 Tl 3.24, 6 Sr 3.41-3.51
Tl2 0.3763 0.1237 0.5000  1 Tl 3.24, 6 Sr 3.41-3.51
Tl3 0.6237 0.8763 0.5000  1 Tl 3.24, 6 Sr 3.41-3.51
Tl4 0.1237 0.6237 0.5000  1 Tl 3.24, 6 Sr 3.41-3.51
Hg1 0.0000 0.0000 0.0000  4 Sr 3.42
Hg2 0.5000 0.5000 0.0000  4 Sr 3.42

Space-group type   P4/mbm
Relative energy among the computed polymorphs   0.1363 eV per atom

---

Entry 7:
VASP calculation (PBE) on crystalline Sr2Tl3Hg2 at its relaxed geometry.

abc: 5.3858 5.4325 8.9864
angles: 107.02 90.00 119.72
Last column: nearest neighbours and their distance in Å.
Fractional coordinates of all 7 atoms:
Tl1 0.3462 0.6924 0.5375  3 Tl 3.19, 1 Hg 3.42, 2 Sr 3.57
Tl2 0.5000 0.0000 0.0000  6 Hg 3.31-3.33
Tl3 0.6538 0.3076 0.4625  3 Tl 3.19, 1 Hg 3.42, 2 Sr 3.57
Hg1 0.2124 0.4248 0.1327  4 Sr 3.30-3.31, 4 Tl 3.31-3.42
Hg2 0.7876 0.5752 0.8673  4 Sr 3.30-3.31, 4 Tl 3.31-3.42
Sr1 0.0791 0.1582 0.7419  4 Hg 3.30-3.31, 3 Tl 3.57-3.58
Sr2 0.9209 0.8418 0.2581  4 Hg 3.30-3.31, 3 Tl 3.57-3.58

Space-group type   C2/m
Relative energy among the computed polymorphs   0.0000 eV per atom

---

Entry 8:
VASP calculation (PBE) on crystalline Sr3Tl2Hg6 at its relaxed geometry.

abc: 4.3990 4.3990 18.3693
angles: 96.88 96.88 90.00
Last column: nearest neighbours and their distance in Å.
Fractional coordinates of all 11 atoms:
Hg1 0.5706 0.0706 0.1411  4 Hg 3.11, 2 Tl 3.23, 2 Sr 3.37
Hg2 0.7268 0.7268 0.4537  1 Tl 3.29, 5 Sr 3.31-3.51, 4 Hg 3.53
Hg3 0.2732 0.2732 0.5463  1 Tl 3.29, 5 Sr 3.31-3.51, 4 Hg 3.53
Hg4 0.4294 0.9294 0.8589  4 Hg 3.11, 2 Tl 3.23, 2 Sr 3.37
Hg5 0.0706 0.5706 0.1411  4 Hg 3.11, 2 Tl 3.23, 2 Sr 3.37
Hg6 0.9294 0.4294 0.8589  4 Hg 3.11, 2 Tl 3.23, 2 Sr 3.37
Tl1 0.6358 0.6358 0.2717  5 Hg 3.23-3.29, 4 Sr 3.53
Tl2 0.3642 0.3642 0.7283  5 Hg 3.23-3.29, 4 Sr 3.53
Sr1 0.8182 0.8182 0.6364  5 Hg 3.31-3.51, 4 Tl 3.53
Sr2 0.0000 0.0000 0.0000  8 Hg 3.37
Sr3 0.1818 0.1818 0.3636  5 Hg 3.31-3.51, 4 Tl 3.53

Space-group type   I4/mmm

---

Entry 9:
VASP calculation (PBE) on crystalline Sr2Tl3Hg8 at its relaxed geometry.

abc: 6.0523 6.6043 11.5322
angles: 106.64 119.55 90.00
Last column: nearest neighbours and their distance in Å.
Fractional coordinates of all 13 atoms:
Hg1 0.4781 0.1066 0.7046  5 Hg 3.10-3.36, 1 Tl 3.17
Hg2 0.2548 0.4280 0.8560  4 Hg 3.00-3.10, 2 Tl 3.20
Hg3 0.5219 0.4021 0.2954  5 Hg 3.10-3.36, 1 Tl 3.17
Hg4 0.4781 0.5979 0.7046  5 Hg 3.10-3.36, 1 Tl 3.17
Hg5 0.7621 0.2876 0.5752  5 Hg 3.00-3.19
Hg6 0.7452 0.5720 0.1440  4 Hg 3.00-3.10, 2 Tl 3.20
Hg7 0.2379 0.7124 0.4248  5 Hg 3.00-3.19
Hg8 0.5219 0.8934 0.2954  5 Hg 3.10-3.36, 1 Tl 3.17
Tl1 0.5000 0.0000 0.0000  4 Tl 3.44, 8 Hg 3.61-3.63, 2 Sr 3.72
Tl2 0.0000 0.7529 0.0000  4 Hg 3.17-3.20, 4 Tl 3.26-3.44
Tl3 0.0000 0.2471 0.0000  4 Hg 3.17-3.20, 4 Tl 3.26-3.44
Sr1 0.0792 0.1806 0.3612  10 Hg 3.41-3.73, 1 Tl 3.72
Sr2 0.9208 0.8194 0.6388  10 Hg 3.41-3.73, 1 Tl 3.72

Space-group type   C2/m

---

Entry 10:
VASP calculation (PBE) on crystalline SrTlHg at its relaxed geometry.

abc: 4.3080 4.3080 6.4426
angles: 90.00 90.00 120.00
Last column: nearest neighbours and their distance in Å.
Fractional coordinates of all 3 atoms:
Sr1 0.3333 0.6667 0.3172  3 Hg 3.29, 3 Tl 3.50
Tl1 0.6667 0.3333 0.6992  3 Hg 3.09
Hg1 0.0000 0.0000 0.9837  3 Tl 3.09, 3 Sr 3.29

Space-group type   P3m1
Relative energy among the computed polymorphs   0.1586 eV per atom

---

Entry 11:
VASP calculation (PBE) on crystalline SrTl2Hg9 at its relaxed geometry.

abc: 4.9269 4.9269 13.9782
angles: 90.00 90.00 90.00
Last column: nearest neighbours and their distance in Å.
Fractional coordinates of all 12 atoms:
Hg1 0.0000 0.5000 0.8292  8 Hg 3.34-3.48, 2 Tl 3.41, 2 Sr 3.43
Hg2 0.5000 0.5000 0.0000  8 Hg 3.43, 4 Sr 3.48
Hg3 0.5000 0.5000 0.6675  8 Hg 3.34-3.40, 4 Tl 3.49
Hg4 0.0000 0.5000 0.1708  8 Hg 3.34-3.48, 2 Tl 3.41, 2 Sr 3.43
Hg5 0.5000 0.5000 0.3325  8 Hg 3.34-3.40, 4 Tl 3.49
Hg6 0.5000 0.0000 0.8292  8 Hg 3.34-3.48, 2 Tl 3.41, 2 Sr 3.43
Hg7 0.0000 0.5000 0.5000  4 Tl 3.33, 8 Hg 3.40-3.48
Hg8 0.5000 0.0000 0.5000  4 Tl 3.33, 8 Hg 3.40-3.48
Hg9 0.5000 0.0000 0.1708  8 Hg 3.34-3.48, 2 Tl 3.41, 2 Sr 3.43
Tl1 0.0000 0.0000 0.3397  12 Hg 3.33-3.49
Tl2 0.0000 0.0000 0.6603  12 Hg 3.33-3.49
Sr1 0.0000 0.0000 0.0000  12 Hg 3.43-3.48

Space-group type   P4/mmm

---

Entry 12:
VASP calculation (PBE) on crystalline SrTlHg6 at its relaxed geometry.

abc: 5.2844 6.8342 6.8342
angles: 114.61 90.00 90.00
Last column: nearest neighbours and their distance in Å.
Fractional coordinates of all 8 atoms:
Tl1 0.0000 0.1131 0.8869  12 Hg 3.35-3.72
Hg1 0.5000 0.8758 0.5616  7 Hg 3.23-3.47, 2 Sr 3.39-3.47, 2 Tl 3.40
Hg2 0.5000 0.4384 0.1242  7 Hg 3.23-3.47, 2 Sr 3.39-3.47, 2 Tl 3.40
Hg3 0.0000 0.0582 0.3767  7 Hg 3.21-3.43, 2 Tl 3.35-3.52, 2 Sr 3.41
Hg4 0.0000 0.5768 0.4232  8 Hg 3.23-3.43, 2 Sr 3.40
Hg5 0.0000 0.6233 0.9418  7 Hg 3.21-3.43, 2 Tl 3.35-3.52, 2 Sr 3.41
Hg6 0.5000 0.9240 0.0760  8 Hg 3.24-3.47, 2 Tl 3.42
Sr1 0.5000 0.3901 0.6099  12 Hg 3.39-3.71

Space-group type   Amm2

---

Summary of uncorrected energy in eV/atom
-2.050, -1.914, -1.870, -1.266, -1.159, -1.937, -1.925, -1.331, -1.218, -1.708, -0.910, -0.949
(order as listed above)
Summary of formation enthalpy at 0 K in eV/atom
-0.37, -0.39, -0.19, -0.36, -0.32, -0.26, -0.34, -0.28, -0.23, -0.26, -0.15, -0.22
(order as listed above)